1.
Below is a geometry-optimized NaY3Au structure, with properties calculated at the GGA-PBE level.

Unit cell a=5.436 b=5.436 c=5.436 alpha=90.00 beta=90.00 gamma=90.00
Each line ends with the local moment (μB).
Fractional coordinates of all 5 atoms:
1 Au 0.500 0.500 0.500  0.03
2 Na 0.000 0.000 0.000  0.05
3 Y 0.500 0.000 0.000  0.39
4 Y 0.000 0.000 0.500  0.41
5 Y 0.000 0.500 0.000  0.46

Output
DFT formation energy = 0.8952 eV/atom
energy above the lowest structure with this stoichiometry = 908 meV/atom
symmetry = No. 221
uncorrected energy = -3.9025 eV per atom

2.
Below is a geometry-optimized Ce5Ge2Ru structure, with properties calculated at the GGA-PBE level.

Unit cell a=7.133 b=7.170 c=6.474 alpha=125.78 beta=125.63 gamma=87.66
Each line ends with the local moment (μB).
Fractional coordinates of all 8 atoms:
1 Ce 0.238 0.239 0.989  0.08
2 Ce 0.653 0.651 0.382  0.30
3 Ce 0.746 0.747 0.997  0.19
4 Ce 0.279 0.751 0.006  0.24
5 Ce 0.750 0.276 0.004  0.24
6 Ge 0.761 0.268 0.491  -0.01
7 Ge 0.266 0.761 0.490  -0.01
8 Ru 0.085 0.084 0.195  -0.03

Output
DFT formation energy = -0.3922 eV/atom
energy above the lowest structure with this stoichiometry = 167 meV/atom
symmetry = No. 1
uncorrected energy = -6.4147 eV per atom

3.
Below is a geometry-optimized CdAu structure, with properties calculated at the GGA-PBE level.

Unit cell a=3.064 b=3.064 c=9.630 alpha=90.00 beta=90.00 gamma=120.00
Fractional coordinates of all 4 atoms:
1 Cd 0.000 0.000 0.492
2 Cd 0.333 0.667 0.758
3 Au 0.000 0.000 0.003
4 Au 0.333 0.667 0.247

Output
DFT formation energy = -0.0549 eV/atom
symmetry = No. 164
uncorrected energy = -2.1511 eV per atom

4.
Below is a geometry-optimized Be2AlRe structure, with properties calculated at the GGA-PBE level.

Unit cell a=2.621 b=2.621 c=7.249 alpha=90.00 beta=90.00 gamma=90.00
Fractional coordinates of all 4 atoms:
1 Be 0.000 0.000 0.011
2 Be 0.000 0.000 0.489
3 Al 0.500 0.500 0.750
4 Re 0.500 0.500 0.250

Output
DFT formation energy = 0.2535 eV/atom
symmetry = No. 123
uncorrected energy = -5.6573 eV per atom

5.
Below is a geometry-optimized CsMnB2Br8 structure, with properties calculated at the GGA-PBE level.

Unit cell a=6.465 b=6.465 c=10.733 alpha=72.47 beta=72.47 gamma=60.00
Each line ends with the local moment (μB).
Fractional coordinates of all 12 atoms:
1 Br 0.412 0.730 0.839  0.01
2 Br 0.191 0.191 0.427  0.00
3 Br 0.588 0.270 0.161  0.01
4 Br 0.730 0.019 0.839  0.01
5 Br 0.019 0.412 0.839  0.01
6 Br 0.981 0.588 0.161  0.01
7 Br 0.270 0.981 0.161  0.01
8 Br 0.809 0.809 0.573  0.00
9 Mn 0.000 0.000 0.000  3.80
10 B 0.741 0.741 0.776  -0.03
11 B 0.259 0.259 0.224  -0.03
12 Cs 0.500 0.500 0.500  0.00

Output
symmetry = No. 148
ΔE_f (raw) = -0.566 eV/atom
uncorrected energy = -3.6293 eV per atom

Number 1: spin magnetization 2.9 μB per formula unit, density 5.031 g/cm3. Number 2: spin magnetization 1.2 μB per formula unit, density 8.085 g/cm3. Number 3: spin magnetization 0.0 μB per formula unit, density 13.125 g/cm3. Number 4: spin magnetization 0.0 μB per formula unit, density 7.713 g/cm3. Number 5: spin magnetization 4.0 μB per formula unit, density 3.870 g/cm3.